Entry from Alexandria via LeMat-Bulk: a geometry-optimized Tl3MoPt structure (PBE-GGA).

Calculated values
Total energy, eV per atom: -3.642
Energy relative to the lowest polymorph listed for this composition, meV per atom: 228
Fermi-level density of states, states/eV/f.u.: 4.63

a = 5.359 Å, b = 5.359 Å, c = 5.359 Å
α = 90.00°, β = 90.00°, γ = 90.00°
Sites, in units of the cell vectors:
Tl (0.000, 0.000, 0.500)
Tl (0.000, 0.500, 0.000)
Tl (0.500, 0.000, 0.000)
Mo (0.000, 0.000, 0.000)
Pt (0.500, 0.500, 0.500)


Entry from Alexandria via LeMat-Bulk: a geometry-optimized Sm11Y9Th4 structure (PBE-GGA).

Calculated values
Total energy, eV per atom: -5.720
Fermi-level density of states, states/eV/f.u.: 35.38

a = 15.364 Å, b = 15.364 Å, c = 3.719 Å
α = 90.00°, β = 90.00°, γ = 112.66°
Sites, in units of the cell vectors:
Sm (0.000, 0.000, 0.000)
Sm (0.048, 0.411, 0.000)
Sm (0.157, 0.843, 0.000)
Sm (0.292, 0.292, 0.000)
Sm (0.367, 0.633, 0.000)
Sm (0.411, 0.048, 0.000)
Sm (0.589, 0.952, 0.000)
Sm (0.633, 0.367, 0.000)
Sm (0.708, 0.708, 0.000)
Sm (0.843, 0.157, 0.000)
Sm (0.952, 0.589, 0.000)
Y (0.067, 0.212, 0.500)
Y (0.162, 0.635, 0.500)
Y (0.212, 0.067, 0.500)
Y (0.365, 0.838, 0.500)
Y (0.500, 0.500, 0.500)
Y (0.635, 0.162, 0.500)
Y (0.788, 0.933, 0.500)
Y (0.838, 0.365, 0.500)
Y (0.933, 0.788, 0.500)
Th (0.242, 0.446, 0.500)
Th (0.446, 0.242, 0.500)
Th (0.554, 0.758, 0.500)
Th (0.758, 0.554, 0.500)


Entry from Alexandria via LeMat-Bulk: a geometry-optimized HfMgO3 structure (PBE-GGA).

Calculated values
Formation energy (no corrections), eV per atom: -2.025
Total energy, eV per atom: -7.310
Fermi-level density of states, states/eV/f.u.: 0.00

a = 3.682 Å, b = 3.682 Å, c = 3.682 Å
α = 90.00°, β = 90.00°, γ = 90.00°
Sites, in units of the cell vectors:
Hf (0.000, 0.000, 0.000)
Mg (0.500, 0.500, 0.500)
O (0.000, 0.500, 0.500)
O (0.500, 0.000, 0.500)
O (0.500, 0.500, 0.000)


Entry from Alexandria via LeMat-Bulk: a geometry-optimized Ta2CoCu structure (PBE-GGA).

Calculated values
Total energy, eV per atom: -8.663
Fermi-level density of states, states/eV/f.u.: 3.07

a = 5.079 Å, b = 5.079 Å, c = 4.639 Å
α = 109.52°, β = 109.52°, γ = 31.63°
Sites, in units of the cell vectors:
Ta (0.000, 0.000, 0.000)
Ta (0.222, 0.222, 0.642)
Co (0.746, 0.746, 0.151)
Cu (0.459, 0.459, 0.469)


Entry from Alexandria via LeMat-Bulk: a geometry-optimized Zn2WBr structure (PBE-GGA).

Calculated values
Formation energy (no corrections), eV per atom: 0.998
Total energy, eV per atom: -3.296
Energy relative to the lowest polymorph listed for this composition, meV per atom: 609
Fermi-level density of states, states/eV/f.u.: 3.37

a = 5.956 Å, b = 5.956 Å, c = 5.956 Å
α = 102.24°, β = 102.24°, γ = 125.18°
Sites, in units of the cell vectors:
Zn (0.110, 0.625, 0.985)
Zn (0.375, 0.360, 0.485)
Zn (0.640, 0.125, 0.015)
Zn (0.875, 0.890, 0.515)
W (0.000, 0.000, 0.000)
W (0.750, 0.250, 0.500)
Br (0.250, 0.750, 0.500)
Br (0.500, 0.500, 0.000)


Entry from Alexandria via LeMat-Bulk: a geometry-optimized Pm4CdInAg2 structure (PBE-GGA).

Calculated values
Total energy, eV per atom: -3.869
Fermi-level density of states, states/eV/f.u.: 8.58

a = 9.305 Å, b = 9.305 Å, c = 9.305 Å
α = 33.47°, β = 33.47°, γ = 33.47°
Sites, in units of the cell vectors:
Pm (0.124, 0.124, 0.124)
Pm (0.374, 0.374, 0.374)
Pm (0.626, 0.626, 0.626)
Pm (0.876, 0.876, 0.876)
Cd (0.000, 0.000, 0.000)
In (0.500, 0.500, 0.500)
Ag (0.250, 0.250, 0.250)
Ag (0.750, 0.750, 0.750)